The following is a DFT calculation (PBE) of crystalline Sr2CrOs at its relaxed geometry.

Summary:
DOS at the Fermi energy	4.7	states/eV/cell
energy of formation from the pure elements	963	meV/atom
final energy	-5.092	eV/atom

```
Sr2CrOs
1.0
3.567 0.019 0.000
-0.019 3.567 0.000
0.000 0.000 8.628
Cr Os Sr
1 1 2
Cartesian
1.774 1.793 2.157 Cr
1.774 1.793 6.471 Os
0.000 0.000 8.284 Sr
0.000 0.000 4.658 Sr
```